Entry from Alexandria: a geometry-optimized FeCoSb2I structure (PBEsol).

Cell: 4.768 4.768 5.292 Å, 90.00 90.00 90.00°
Sites, in units of the cell vectors:
Fe  0.000  0.000  0.000
Co  0.500  0.500  0.500
Sb  0.000  0.500  0.500
Sb  0.500  0.000  0.500
I  0.500  0.500  0.000

Summary:
calculated total energy: -23.207 eV per formula unit
symmetry: P4/mmm
uncorrected formation energy: 20.18 kcal/mol of atoms